## Na3Ce2ThSe6 (GGA-PBE)

Data for crystalline Na3Ce2ThSe6 at its relaxed geometry.

Summary:
The value obtained for the uncorrected formation energy is -1.5796 eV per atom. The value obtained for the total energy is -5.259 eV per atom. The crystal system is monoclinic.

Cell lengths 7.391, 12.801, 7.450 Å; angles 90.00, 109.32, 90.00 degrees
Space group C2/m (No. 12)
Inequivalent atoms, fractional coordinates:
Na: 0.000 0.000 0.000 [2 per cell]
Na: 0.000 0.333 0.000 [4 per cell]
Ce: 0.000 0.167 0.500 [4 per cell]
Th: 0.000 0.500 0.500 [2 per cell]
Se: 0.244 0.336 0.739 [8 per cell]
Se: 0.248 0.500 0.262 [4 per cell]

---

## AlTl2Cr (GGA-PBE)

Data for crystalline AlTl2Cr at its relaxed geometry.

Summary:
Its formation energy is 0.45 eV per atom. The value obtained for the total energy is -4.076 eV per atom. The crystal system is monoclinic. The value obtained for the energy relative to the lowest polymorph listed for this composition is 0.133 eV per atom.

Cell lengths 3.778, 4.466, 5.704 Å; angles 90.00, 109.03, 90.00 degrees
Space group Pm (No. 6)
Inequivalent atoms, fractional coordinates:
Al: 0.000 0.000 0.000 [1 per cell]
Tl: 0.418 0.500 0.834 [1 per cell]
Tl: 0.720 0.000 0.453 [1 per cell]
Cr: 0.136 0.500 0.284 [1 per cell]

---

## BaVTc3 (GGA-PBE)

Data for crystalline BaVTc3 at its relaxed geometry.

Summary:
Its formation energy is 3.05 eV per atom. The value obtained for the total energy is -5.380 eV per atom. The crystal system is cubic. The value obtained for the energy relative to the lowest polymorph listed for this composition is 1.974 eV per atom.

Cell lengths 4.931, 4.931, 4.931 Å; angles 90.00, 90.00, 90.00 degrees
Space group Pm-3m (No. 221)
Inequivalent atoms, fractional coordinates:
Ba: 0.000 0.000 0.000 [1 per cell]
V: 0.500 0.500 0.500 [1 per cell]
Tc: 0.000 0.000 0.500 [3 per cell]

---

## ScTl2TcNi (GGA-PBE)

Data for crystalline ScTl2TcNi at its relaxed geometry.

Summary:
Its formation energy is 0.70 eV per atom. The value obtained for the total energy is -4.742 eV per atom. The crystal system is tetragonal.

Cell lengths 4.877, 4.877, 4.718 Å; angles 90.00, 90.00, 90.00 degrees
Space group P4/mmm (No. 123)
Inequivalent atoms, fractional coordinates:
Sc: 0.000 0.000 0.000 [1 per cell]
Tl: 0.000 0.500 0.500 [2 per cell]
Tc: 0.500 0.500 0.000 [1 per cell]
Ni: 0.000 0.000 0.500 [1 per cell]

---

## Th4FeBi3 (GGA-PBE)

Data for crystalline Th4FeBi3 at its relaxed geometry.

Summary:
Its formation energy is -0.42 eV per atom. The value obtained for the total energy is -6.640 eV per atom. The crystal system is monoclinic.

Cell lengths 7.965, 9.095, 7.454 Å; angles 90.00, 108.59, 90.00 degrees
Space group P2/c (No. 13)
Inequivalent atoms, fractional coordinates:
Th: 0.197 0.110 0.024 [4 per cell]
Th: 0.228 0.339 0.471 [4 per cell]
Fe: 0.000 0.118 0.250 [2 per cell]
Bi: 0.000 0.384 0.750 [2 per cell]
Bi: 0.500 0.118 0.750 [2 per cell]
Bi: 0.500 0.390 0.250 [2 per cell]

---

## Ba2PrTlSe4 (GGA-PBE)

Data for crystalline Ba2PrTlSe4 at its relaxed geometry.

Summary:
The value obtained for the uncorrected formation energy is -1.6501 eV per atom. The value obtained for the total energy is -4.766 eV per atom. The crystal system is monoclinic.

Cell lengths 7.783, 4.580, 8.085 Å; angles 90.00, 108.85, 90.00 degrees
Space group P2/m (No. 10)
Inequivalent atoms, fractional coordinates:
Ba: 0.000 0.000 0.000 [1 per cell]
Ba: 0.000 0.500 0.500 [1 per cell]
Pr: 0.500 0.000 0.500 [1 per cell]
Tl: 0.500 0.500 0.000 [1 per cell]
Se: 0.262 0.000 0.730 [2 per cell]
Se: 0.272 0.500 0.273 [2 per cell]

---

## CuPbSe2 (GGA-PBE)

Data for crystalline CuPbSe2 at its relaxed geometry.

Summary:
The value obtained for the uncorrected formation energy is 0.3365 eV per atom. The value obtained for the total energy is -3.357 eV per atom. The crystal system is cubic.

Cell lengths 7.054, 7.054, 7.054 Å; angles 90.00, 90.00, 90.00 degrees
Space group F-43m (No. 216)
Inequivalent atoms, fractional coordinates:
Cu: 0.000 0.000 0.000 [4 per cell]
Pb: 0.250 0.250 0.250 [4 per cell]
Se: 0.000 0.000 0.500 [4 per cell]
Se: 0.250 0.250 0.750 [4 per cell]

---

## Pr4HgIr (GGA-PBE)

Data for crystalline Pr4HgIr at its relaxed geometry.

Summary:
Its formation energy is -0.39 eV per atom. The value obtained for the total energy is -5.106 eV per atom. The crystal system is monoclinic. The value obtained for the energy relative to the lowest polymorph listed for this composition is 0.075 eV per atom.

Cell lengths 9.047, 14.140, 6.212 Å; angles 90.00, 114.57, 90.00 degrees
Space group C2/c (No. 15)
Inequivalent atoms, fractional coordinates:
Pr: 0.114 0.182 0.074 [8 per cell]
Pr: 0.221 0.429 0.338 [8 per cell]
Hg: 0.000 0.378 0.750 [4 per cell]
Ir: 0.000 0.000 0.250 [4 per cell]

---

What is the formula in the third record?
BaVTc3

---

Which value of total energy does entry 5 give?
-6.640 eV per atom

---

What did the fifth record say?
## Th4FeBi3 (GGA-PBE)

Data for crystalline Th4FeBi3 at its relaxed geometry.

Summary:
Its formation energy is -0.42 eV per atom. The value obtained for the total energy is -6.640 eV per atom. The crystal system is monoclinic.

Cell lengths 7.965, 9.095, 7.454 Å; angles 90.00, 108.59, 90.00 degrees
Space group P2/c (No. 13)
Inequivalent atoms, fractional coordinates:
Th: 0.197 0.110 0.024 [4 per cell]
Th: 0.228 0.339 0.471 [4 per cell]
Fe: 0.000 0.118 0.250 [2 per cell]
Bi: 0.000 0.384 0.750 [2 per cell]
Bi: 0.500 0.118 0.750 [2 per cell]
Bi: 0.500 0.390 0.250 [2 per cell]